# 1
Density functional theory data (GGA-PBE) for a relaxed structure of Ca2NiCSe.

Cell: 5.1327 5.1327 3.6337 Å, 90.00 90.00 90.00°
Sites, in units of the cell vectors:
Ni 0.0000 0.0000 0.5000
Ca 0.0000 0.5000 0.0000
Ca 0.5000 0.0000 0.0000
C 0.0000 0.0000 0.0000
Se 0.5000 0.5000 0.5000

Results
Its density of states at the Fermi level is 0.381 states/eV/atom. Its space group is P4/mmm, No. 123. Its mass density is 3.99 g/cm3. The raw formation energy comes out at -3.378 eV per formula unit.

=====

# 2
Density functional theory data (GGA-PBE) for a relaxed structure of TbPr3Nd4Te8.

Cell: 9.0033 8.9842 8.9994 Å, 120.01 120.01 90.00°
Sites, in units of the cell vectors:
Tb 0.0000 0.5000 0.0000
Pr 0.5000 0.5000 0.0000
Pr 0.5000 0.5000 0.5000
Pr 0.0000 0.5000 0.5000
Nd 0.5000 0.0000 0.0000
Nd 0.5000 0.0000 0.5000
Nd 0.0000 0.0000 0.0000
Nd 0.0000 0.0000 0.5000
Te 0.2462 0.7479 0.0017
Te 0.2461 0.7479 0.4923
Te 0.2491 0.2473 0.4982
Te 0.7556 0.7479 0.0017
Te 0.2444 0.2521 0.9983
Te 0.7509 0.7527 0.5018
Te 0.7539 0.2521 0.5077
Te 0.7538 0.2521 0.9983

Results
Its density of states at the Fermi level is 0.784 states/eV/atom. Its space group is R-3m, No. 166. Its mass density is 7.03 g/cm3. The raw formation energy comes out at -22.540 eV per formula unit.

=====

# 3
Density functional theory data (GGA-PBE) for a relaxed structure of CuNi15Ge4.

Cell: 3.5747 3.5747 17.8073 Å, 90.00 90.00 90.00°
Site moments in Bohr magnetons follow the coordinates.
Sites, in units of the cell vectors:
Cu 0.0000 0.0000 0.0000  0.05
Ni 0.5000 0.5000 0.0000  0.49
Ni 0.5000 0.5000 0.2000  0.15
Ni 0.5000 0.5000 0.3999  0.02
Ni 0.5000 0.5000 0.6001  0.02
Ni 0.5000 0.5000 0.8000  0.15
Ni 0.5000 0.0000 0.0989  0.33
Ni 0.5000 0.0000 0.2992  0.07
Ni 0.5000 0.0000 0.5000  0.01
Ni 0.5000 0.0000 0.7008  0.07
Ni 0.5000 0.0000 0.9011  0.33
Ni 0.0000 0.5000 0.0989  0.33
Ni 0.0000 0.5000 0.2992  0.07
Ni 0.0000 0.5000 0.5000  0.01
Ni 0.0000 0.5000 0.7008  0.07
Ni 0.0000 0.5000 0.9011  0.33
Ge 0.0000 0.0000 0.1969  -0.01
Ge 0.0000 0.0000 0.3993  0.00
Ge 0.0000 0.0000 0.6007  0.00
Ge 0.0000 0.0000 0.8031  -0.01

Results
The total energy is -5.675 eV/atom. Its density of states at the Fermi level is 1.071 states/eV/atom. Its space group is P4/mmm, No. 123. Its mass density is 9.01 g/cm3.

=====

# 4
Density functional theory data (GGA-PBE) for a relaxed structure of NdOsI.

Cell: 4.2706 4.2706 12.6463 Å, 80.28 80.28 60.00°
Sites, in units of the cell vectors:
Nd 0.5554 0.5554 0.3339
Nd 0.4446 0.4446 0.6661
I 0.2802 0.2802 0.1595
I 0.7198 0.7198 0.8405
Os 0.8360 0.8360 0.4920
Os 0.1640 0.1640 0.5080

Results
Its density of states at the Fermi level is 0.574 states/eV/atom. Its space group is R-3m, No. 166. Its mass density is 7.82 g/cm3. The raw formation energy comes out at -2.265 eV per formula unit.

=====

# 5
Density functional theory data (GGA-PBE) for a relaxed structure of CoBi2Pd.

Cell: 4.8812 4.8812 4.8812 Å, 60.00 60.00 60.00°
Site moments in Bohr magnetons follow the coordinates.
Sites, in units of the cell vectors:
Co 0.0000 0.0000 0.0000  1.17
Bi 0.2500 0.2500 0.2500  -0.03
Bi 0.7500 0.7500 0.7500  -0.03
Pd 0.5000 0.5000 0.5000  0.01

Results
The calculation puts the energy relative to the lowest polymorph listed for this composition at 0.0000 eV/atom. Its density of states at the Fermi level is 1.542 states/eV/atom. Its space group is Fm-3m, No. 225. Its mass density is 11.78 g/cm3.

=====

# 6
Density functional theory data (GGA-PBE) for a relaxed structure of CaRe2As.

Cell: 5.6321 5.6321 5.6321 Å, 140.55 140.55 57.01°
Sites, in units of the cell vectors:
Re 0.0000 0.0000 0.0000
Re 0.5000 0.5000 0.0000
As 0.2500 0.7500 0.5000
Ca 0.7500 0.2500 0.5000

Results
The total energy is -7.314 eV/atom. Its density of states at the Fermi level is 0.759 states/eV/atom. Its space group is I4/mmm, No. 139. Its mass density is 11.32 g/cm3.

=====

# 7
Density functional theory data (GGA-PBE) for a relaxed structure of TaB6W6.

Cell: 4.7617 6.1275 6.1275 Å, 78.24 67.14 67.14°
Sites, in units of the cell vectors:
Ta 0.0000 0.0000 0.0000
B 0.0000 0.5000 0.0000
B 0.5000 0.5000 0.0000
B 0.0000 0.0000 0.5000
B 0.5000 0.0000 0.5000
B 0.5000 0.7591 0.2409
B 0.5000 0.2409 0.7591
W 0.3441 0.6559 0.6559
W 0.6559 0.3441 0.3441
W 0.0000 0.3362 0.6638
W 0.0000 0.6638 0.3362
W 0.3215 0.1785 0.1785
W 0.6785 0.8215 0.8215

Results
The total energy is -9.646 eV/atom. Its density of states at the Fermi level is 0.542 states/eV/atom. Its space group is Immm, No. 71. Its mass density is 14.78 g/cm3.

=====

# 8
Density functional theory data (GGA-PBE) for a relaxed structure of AlCu3Se.

Cell: 4.6186 4.6186 4.6186 Å, 90.00 90.00 90.00°
Sites, in units of the cell vectors:
Cu 0.0000 0.5000 0.0000
Cu 0.0000 0.0000 0.5000
Cu 0.5000 0.0000 0.0000
Se 0.0000 0.0000 0.0000
Al 0.5000 0.5000 0.5000

Results
The calculation puts the energy relative to the lowest polymorph listed for this composition at 0.0000 eV/atom. Its density of states at the Fermi level is 0.405 states/eV/atom. Its space group is Pm-3m, No. 221. Its mass density is 5.00 g/cm3. The raw formation energy comes out at 2.776 eV per formula unit.